(1)
LiMg2Ta after structural relaxation, computed with GGA-PBE.

Lattice parameters (Å, degrees): 4.474 2.798 6.423 73.08 90.00 90.00
Fractional coordinates of all 4 atoms:
Mg  0.000  0.561  0.501
Mg  0.000  0.939  0.999
Ta  0.500  0.250  0.250
Li  0.500  0.750  0.750

Results
Crystal system ... monoclinic
Magnetic moment ... 0.00 μB/atom
Formation energy from the elements ... 0.303 eV per atom
ΔE to the lowest computed polymorph ... 0.159 eV/atom



(2)
NaGdErAl after structural relaxation, computed with GGA-PBE.

Lattice parameters (Å, degrees): 5.278 5.278 5.278 60.00 60.00 60.00
Each line ends with the local moment (μB).
Fractional coordinates of all 4 atoms:
Gd  0.000  0.000  0.000  7.20
Er  0.500  0.500  0.500  0.11
Na  0.750  0.750  0.750  0.00
Al  0.250  0.250  0.250  -0.02

Results
Crystal system ... cubic
Magnetic moment ... 1.90 μB/atom
Formation energy from the elements ... -0.042 eV per atom



(3)
Mg3SnAu12 after structural relaxation, computed with GGA-PBE.

Lattice parameters (Å, degrees): 4.160 4.160 16.896 90.00 90.00 90.00
Fractional coordinates of all 16 atoms:
Au  0.500  0.500  0.000
Au  0.500  0.000  0.866
Au  0.500  0.500  0.744
Au  0.000  0.500  0.378
Au  0.000  0.500  0.622
Au  0.000  0.500  0.866
Au  0.000  0.500  0.134
Au  0.500  0.500  0.256
Au  0.500  0.000  0.378
Au  0.500  0.500  0.500
Au  0.500  0.000  0.134
Au  0.500  0.000  0.622
Mg  0.000  0.000  0.255
Mg  0.000  0.000  0.745
Mg  0.000  0.000  0.500
Sn  0.000  0.000  0.000

Results
Crystal system ... tetragonal
Magnetic moment ... 0.00 μB/atom
Formation energy from the elements ... -0.294 eV per atom



(4)
ZrBrCl2 after structural relaxation, computed with GGA-PBE.

Lattice parameters (Å, degrees): 5.149 5.149 5.149 127.99 127.99 76.64
Each line ends with the local moment (μB).
Fractional coordinates of all 4 atoms:
Cl  0.000  0.000  0.000  -0.03
Cl  0.500  0.500  0.000  -0.03
Zr  0.250  0.750  0.500  0.78
Br  0.750  0.250  0.500  -0.04

Results
Crystal system ... tetragonal
Formation energy (no corrections) ... -0.648 eV/atom
Magnetic moment ... 0.24 μB/atom
ΔE to the lowest computed polymorph ... 0.904 eV/atom



(5)
Mg2ZnGa after structural relaxation, computed with GGA-PBE.

Lattice parameters (Å, degrees): 6.452 6.452 6.452 55.47 153.51 132.21
Fractional coordinates of all 4 atoms:
Mg  0.000  0.245  0.245
Mg  0.000  0.755  0.755
Ga  0.000  0.500  0.500
Zn  0.000  0.000  0.000

Results
Crystal system ... orthorhombic
Magnetic moment ... 0.00 μB/atom
Formation energy from the elements ... 0.208 eV per atom



(6)
CoNi2Hg after structural relaxation, computed with GGA-PBE.

Lattice parameters (Å, degrees): 4.577 4.577 4.577 131.06 130.99 71.78
Each line ends with the local moment (μB).
Fractional coordinates of all 4 atoms:
Hg  0.250  0.750  0.500  -0.02
Co  0.750  0.250  0.500  1.72
Ni  0.500  0.500  0.000  0.49
Ni  0.000  0.000  0.000  0.49

Results
Crystal system ... tetragonal
Magnetic moment ... 0.64 μB/atom
Formation energy from the elements ... 0.282 eV per atom



(7)
Cs2PrAg2Se4 after structural relaxation, computed with GGA-PBE.

Lattice parameters (Å, degrees): 4.337 8.657 8.337 107.34 105.07 90.00
Fractional coordinates of all 9 atoms:
Se  0.517  0.771  0.033
Se  0.483  0.229  0.967
Se  0.197  0.176  0.394
Se  0.803  0.824  0.606
Cs  0.868  0.439  0.736
Cs  0.132  0.561  0.264
Pr  0.000  0.000  0.000
Ag  0.321  0.017  0.643
Ag  0.679  0.983  0.357

Results
Crystal system ... monoclinic
Formation energy (no corrections) ... -1.018 eV/atom
Magnetic moment ... 0.00 μB/atom



(8)
KSr2Mo after structural relaxation, computed with GGA-PBE.

Lattice parameters (Å, degrees): 4.352 4.427 10.559 65.23 90.00 90.00
Each line ends with the local moment (μB).
Fractional coordinates of all 4 atoms:
K  0.000  0.456  0.546  0.00
Sr  0.500  0.301  0.199  -0.01
Sr  0.000  0.064  0.935  0.02
Mo  0.500  0.680  0.819  3.17

Results
Crystal system ... monoclinic
Magnetic moment ... 0.95 μB/atom
Formation energy from the elements ... 0.980 eV per atom
ΔE to the lowest computed polymorph ... 0.225 eV/atom



Look up the magnetic moment of the fifth one. 0.00 μB/atom